w:
{"formula": "NaCuTcTe3", "functional": "PBE", "state": "optimized geometry", "rho_g_cm3": 6.31, "magmom_total_mub_per_cell": 0.02, "cell": [[-0.479, -2.995, 2.496], [11.391, 0.883, 3.248], [-3.274, 8.227, 9.243]], "species": ["Tc", "Na", "Cu", "Te", "Cu", "Na", "Tc", "Te", "Te", "Tc", "Na", "Te", "Te", "Cu", "Te", "Te", "Te", "Te", "Tc", "Te", "Te", "Na", "Cu", "Te"], "frac_coords": [[0.750, 0.841, 0.538], [0.750, 0.511, 0.666], [0.250, 0.690, 0.742], [0.250, 0.679, 0.536], [0.750, 0.190, 0.758], [0.750, 0.989, 0.166], [0.750, 0.659, 0.038], [0.750, 0.321, 0.464], [0.250, 0.931, 0.415], [0.250, 0.341, 0.962], [0.250, 0.489, 0.334], [0.750, 0.431, 0.085], [0.750, 0.069, 0.585], [0.250, 0.810, 0.242], [0.250, 0.569, 0.915], [0.250, 0.821, 0.036], [0.250, 0.327, 0.754], [0.750, 0.673, 0.246], [0.250, 0.159, 0.462], [0.750, 0.179, 0.964], [0.250, 0.173, 0.254], [0.250, 0.011, 0.834], [0.750, 0.310, 0.258], [0.750, 0.827, 0.746]]}

***

x:
{"formula": "NaCuTcTe3", "functional": "PBE", "state": "optimized geometry", "rho_g_cm3": 6.43, "magmom_total_mub_per_cell": 4.16, "cell": [[7.308, -1.934, 0.000], [7.308, 1.934, 0.000], [0.000, 0.000, 10.366]], "species": ["Na", "Te", "Cu", "Na", "Tc", "Te", "Te", "Te", "Te", "Te", "Tc", "Cu"], "frac_coords": [[0.763, 0.763, 0.750], [0.632, 0.632, 0.040], [0.460, 0.460, 0.750], [0.237, 0.237, 0.250], [0.000, 0.000, 0.500], [0.632, 0.632, 0.460], [0.078, 0.078, 0.750], [0.368, 0.368, 0.960], [0.368, 0.368, 0.540], [0.922, 0.922, 0.250], [0.000, 0.000, 0.000], [0.540, 0.540, 0.250]]}

***

The data favor x; the next most stable structure lies 0.046 eV/atom above it.

***

w:
{"formula": "NaZrCu3Te4", "functional": "PBE", "state": "optimized geometry", "rho_g_cm3": 5.48, "magmom_total_mub_per_cell": 0.01, "cell": [[-1.843, -0.638, -5.823], [-3.710, -7.060, 1.947], [-7.429, 5.181, 4.631]], "species": ["Na", "Cu", "Te", "Cu", "Te", "Te", "Cu", "Na", "Zr", "Te", "Te", "Te", "Te", "Te", "Cu", "Cu", "Cu", "Zr"], "frac_coords": [[0.244, 0.750, 0.413], [0.287, 0.511, 0.001], [0.001, 0.750, 0.035], [0.832, 0.250, 0.189], [0.999, 0.250, 0.965], [0.391, 0.480, 0.768], [0.287, 0.989, 0.001], [0.756, 0.250, 0.587], [0.335, 0.250, 0.214], [0.609, 0.980, 0.232], [0.609, 0.520, 0.232], [0.849, 0.750, 0.572], [0.151, 0.250, 0.428], [0.391, 0.020, 0.768], [0.713, 0.489, 0.999], [0.168, 0.750, 0.811], [0.713, 0.011, 0.999], [0.665, 0.750, 0.786]]}

***

x:
{"formula": "NaZrCu3Te4", "functional": "PBE", "state": "optimized geometry", "rho_g_cm3": 5.22, "magmom_total_mub_per_cell": 0.00, "cell": [[-6.168, -1.617, 0.032], [0.964, -3.574, 5.192], [-1.299, 5.027, 3.702]], "species": ["Te", "Cu", "Te", "Zr", "Te", "Cu", "Cu", "Te", "Na"], "frac_coords": [[0.743, 0.743, 0.257], [0.000, 0.500, 0.500], [0.257, 0.257, 0.257], [0.500, 0.500, 0.500], [0.257, 0.743, 0.743], [0.500, 0.000, 0.500], [0.500, 0.500, 0.000], [0.743, 0.257, 0.743], [0.000, 0.000, 0.000]]}

***

The data favor x; the next most stable structure lies 0.012 eV/atom above it.

***

w:
{"formula": "NpNbCu", "functional": "PBE", "state": "optimized geometry", "rho_g_cm3": 10.98, "magmom_total_mub_per_cell": 3.51, "cell": [[0.000, 3.099, 3.099], [3.099, 0.000, 3.099], [3.099, 3.099, 0.000]], "species": ["Cu", "Np", "Nb"], "frac_coords": [[0.000, 0.000, 0.000], [0.750, 0.750, 0.750], [0.250, 0.250, 0.250]]}

***

x:
{"formula": "NpNbCu", "functional": "PBE", "state": "optimized geometry", "rho_g_cm3": 11.05, "magmom_total_mub_per_cell": 0.00, "cell": [[-1.962, 1.174, 3.727], [-3.186, 2.995, -0.055], [-4.137, -1.194, 0.763]], "species": ["Nb", "Np", "Cu"], "frac_coords": [[0.500, 0.500, 0.500], [0.750, 0.750, 0.750], [0.000, 0.000, 0.000]]}

***

The data favor w; the next most stable structure lies 0.359 eV/atom above it.

***

w:
{"formula": "NbCuOsPb", "functional": "PBE", "state": "optimized geometry", "rho_g_cm3": 13.42, "magmom_total_mub_per_cell": 0.00, "cell": [[3.259, 1.520, 2.858], [-1.166, 1.826, 4.050], [0.890, -2.278, 3.888]], "species": ["Cu", "Os", "Nb", "Pb"], "frac_coords": [[0.750, 0.750, 0.750], [0.000, 0.000, 0.000], [0.250, 0.250, 0.250], [0.500, 0.500, 0.500]]}

***

x:
{"formula": "NbCuOsPb", "functional": "PBE", "state": "optimized geometry", "rho_g_cm3": 13.43, "magmom_total_mub_per_cell": 0.00, "cell": [[0.000, 3.247, 3.247], [3.247, 0.000, 3.247], [3.247, 3.247, 0.000]], "species": ["Nb", "Os", "Cu", "Pb"], "frac_coords": [[0.000, 0.000, 0.000], [0.250, 0.250, 0.250], [0.750, 0.750, 0.750], [0.500, 0.500, 0.500]]}

***

The data favor x; the next most stable structure lies 0.145 eV/atom above it.

***

w:
{"formula": "NbCuSiOs", "functional": "PBE", "state": "optimized geometry", "rho_g_cm3": 11.16, "magmom_total_mub_per_cell": 0.30, "cell": [[0.000, 3.032, 3.032], [3.032, 0.000, 3.032], [3.032, 3.032, 0.000]], "species": ["Si", "Nb", "Os", "Cu"], "frac_coords": [[0.250, 0.250, 0.250], [0.500, 0.500, 0.500], [0.000, 0.000, 0.000], [0.750, 0.750, 0.750]]}

***

x:
{"formula": "NbCuSiOs", "functional": "PBE", "state": "optimized geometry", "rho_g_cm3": 10.83, "magmom_total_mub_per_cell": 0.00, "cell": [[-2.872, -2.088, -2.482], [-3.074, 2.222, -2.093], [0.169, 0.397, -4.310]], "species": ["Si", "Cu", "Nb", "Os"], "frac_coords": [[0.500, 0.500, 0.500], [0.750, 0.750, 0.750], [0.000, 0.000, 0.000], [0.250, 0.250, 0.250]]}

***

The data favor x; the next most stable structure lies 0.076 eV/atom above it.

***

w:
{"formula": "NbCuPdPb", "functional": "PBE", "state": "optimized geometry", "rho_g_cm3": 11.06, "magmom_total_mub_per_cell": 0.46, "cell": [[3.255, 0.760, 3.215], [-1.229, 1.246, 4.295], [0.524, -2.977, 3.518]], "species": ["Nb", "Cu", "Pd", "Pb"], "frac_coords": [[0.500, 0.500, 0.500], [0.750, 0.750, 0.750], [0.250, 0.250, 0.250], [0.000, 0.000, 0.000]]}

***

x:
{"formula": "NbCuPdPb", "functional": "PBE", "state": "optimized geometry", "rho_g_cm3": 10.96, "magmom_total_mub_per_cell": 0.26, "cell": [[0.000, 3.290, 3.290], [3.290, 0.000, 3.290], [3.290, 3.290, 0.000]], "species": ["Nb", "Cu", "Pb", "Pd"], "frac_coords": [[0.250, 0.250, 0.250], [0.750, 0.750, 0.750], [0.000, 0.000, 0.000], [0.500, 0.500, 0.500]]}

***

The data favor w; the next most stable structure lies 0.006 eV/atom above it.